Entry 1:
A plane-wave DFT calculation with meta-GGA SCAN was carried out for a PBEsol-optimized structure of RbHoO2.

It has space group R-3m (No. 166, hexagonal axes), with a = 3.4409 Å, b = 3.4409 Å, c = 19.3305 Å, α = 90.00°, β = 90.00° and γ = 120.00°. The distinct sites, in fractional coordinates, are Rb at (0.0000, 0.0000, 0.0000), Ho at (0.0000, 0.0000, 0.5000) and O at (0.0000, 0.0000, 0.2252).

Entry 2:
A plane-wave DFT calculation with meta-GGA SCAN was carried out for a PBEsol-optimized structure of MnO2.

It has space group P4_2/mnm (No. 136), with a = 4.4008 Å, b = 4.4008 Å, c = 2.8441 Å, α = 90.00°, β = 90.00° and γ = 90.00°. The distinct sites, in fractional coordinates, are Mn at (0.0000, 0.0000, 0.0000) and O at (0.1953, 0.1953, 0.5000).

Entry 3:
A plane-wave DFT calculation with meta-GGA SCAN was carried out for a PBEsol-optimized structure of In2CoSnB.

It has space group P4/mmm (No. 123), with a = 4.8231 Å, b = 4.8231 Å, c = 4.6953 Å, α = 90.00°, β = 90.00° and γ = 90.00°. The distinct sites, in fractional coordinates, are In at (0.0000, 0.5000, 0.0000), Co at (0.0000, 0.0000, 0.0000), Sn at (0.0000, 0.0000, 0.5000) and B at (0.5000, 0.5000, 0.5000).

For the formation enthalpy at 0 K, the calculation gives 0.94 eV per atom.

In the order shown, the computed DFT total energy values come out to -23.56 -12.36 -24.55 eV per atom.
In the order shown, the computed magnetic moment values come out to 0.00 3.01 0.00 μB per formula unit.